[1]
Entry from the Alexandria database: a geometry-optimized La2TaTc structure (PBE).

Unit cell a=9.966 b=9.966 c=9.966 alpha=19.39 beta=19.39 gamma=19.39
Fractional coordinates of all 4 atoms:
Ta 0.250 0.250 0.250
Tc 0.750 0.750 0.750
La 0.493 0.493 0.493
La 0.007 0.007 0.007

Formation energy from the elements, eV per atom: 0.681
Crystal system: trigonal
Offset from the most stable computed form, kcal/mol of atoms: 14.284
Total energy, eV per cell: -29.3
DOS(E_F), states/eV per atom: 1.429


[2]
Entry from the Alexandria database: a geometry-optimized LaTa2Tc structure (PBE).

Unit cell a=5.189 b=3.958 c=3.958 alpha=90.00 beta=90.00 gamma=90.00
Fractional coordinates of all 4 atoms:
Ta 0.000 0.500 0.500
Ta 0.000 0.000 0.000
Tc 0.500 0.500 0.000
La 0.500 0.000 0.500

Formation energy from the elements, eV per atom: 0.602
Crystal system: tetragonal
Offset from the most stable computed form, kcal/mol of atoms: 10.597
Total energy, eV per cell: -36.6
DOS(E_F), states/eV per atom: 1.335


[3]
Entry from the Alexandria database: a geometry-optimized LaTa2Tc structure (PBE).

Unit cell a=9.766 b=9.766 c=9.766 alpha=18.60 beta=18.60 gamma=18.60
Fractional coordinates of all 4 atoms:
Ta 0.984 0.984 0.984
Ta 0.516 0.516 0.516
Tc 0.250 0.250 0.250
La 0.750 0.750 0.750

Formation energy from the elements, eV per atom: 0.405
Crystal system: trigonal
Offset from the most stable computed form, kcal/mol of atoms: 6.064
Total energy, eV per cell: -37.4
DOS(E_F), states/eV per atom: 1.492


[4]
Entry from the Alexandria database: a geometry-optimized LaTaTc2 structure (PBE).

Unit cell a=4.640 b=4.640 c=9.526 alpha=75.90 beta=75.90 gamma=90.00
Fractional coordinates of all 8 atoms:
Tc 0.375 0.237 0.750
Ta 0.750 0.250 0.500
La 0.250 0.750 0.500
Tc 0.875 0.013 0.750
Tc 0.763 0.125 0.250
La 0.500 0.500 0.000
Ta 0.000 0.000 0.000
Tc 0.987 0.625 0.250

Formation energy from the elements, eV per atom: 0.837
Crystal system: tetragonal
Total energy, eV per cell: -68.3
DOS(E_F), states/eV per atom: 0.964


[5]
Entry from the Alexandria database: a geometry-optimized LaTa3Tc structure (PBE).

Unit cell a=4.918 b=4.918 c=4.918 alpha=90.00 beta=90.00 gamma=90.00
Fractional coordinates of all 5 atoms:
Tc 0.000 0.000 0.000
Ta 0.500 0.000 0.000
La 0.500 0.500 0.500
Ta 0.000 0.500 0.000
Ta 0.000 0.000 0.500

Formation energy from the elements, eV per atom: 0.747
Crystal system: cubic
Offset from the most stable computed form, kcal/mol of atoms: 0.000
Total energy, eV per cell: -47.1
DOS(E_F), states/eV per atom: 1.110


[6]
Entry from the Alexandria database: a geometry-optimized LaTaTc2 structure (PBE).

Unit cell a=4.781 b=4.781 c=3.296 alpha=90.00 beta=90.00 gamma=90.00
Fractional coordinates of all 4 atoms:
Tc 0.000 0.000 0.000
La 0.500 0.000 0.500
Tc 0.500 0.500 0.000
Ta 0.000 0.500 0.500

Formation energy from the elements, eV per atom: 0.249
Crystal system: tetragonal
Total energy, eV per cell: -36.5
DOS(E_F), states/eV per atom: 1.311


[7]
Entry from the Alexandria database: a geometry-optimized LaTa2Tc structure (PBE).

Unit cell a=5.484 b=5.661 c=2.967 alpha=81.18 beta=77.02 gamma=115.18
Fractional coordinates of all 4 atoms:
Tc 0.000 0.500 0.500
La 0.500 0.500 0.000
Ta 0.500 0.000 0.500
Ta 0.000 0.000 0.000

Formation energy from the elements, eV per atom: 0.462
Crystal system: monoclinic
Offset from the most stable computed form, kcal/mol of atoms: 7.362
Total energy, eV per cell: -37.2
DOS(E_F), states/eV per atom: 1.274


[8]
Entry from the Alexandria database: a geometry-optimized LaTa2Tc structure (PBE).

Unit cell a=3.268 b=4.965 c=4.849 alpha=90.00 beta=90.00 gamma=90.00
Fractional coordinates of all 4 atoms:
Ta 0.500 0.500 0.000
Ta 0.000 0.000 0.000
La 0.000 0.500 0.500
Tc 0.500 0.000 0.500

Formation energy from the elements, eV per atom: 0.445
Crystal system: orthorhombic
Offset from the most stable computed form, kcal/mol of atoms: 6.983
Total energy, eV per cell: -37.2
DOS(E_F), states/eV per atom: 1.233